A relaxed structure of ScTlNiTe3. Source: OQMD via LeMat-Bulk, functional PBE.

Unit cell a=8.248 b=8.248 c=10.444 alpha=90.00 beta=90.00 gamma=28.10
Atoms (fractional coordinates):
Ni (0.525, 0.525, 0.250)
Ni (0.475, 0.475, 0.750)
Sc (0.000, 0.000, 0.000)
Sc (0.000, 0.000, 0.500)
Te (0.627, 0.627, 0.066)
Te (0.925, 0.925, 0.250)
Te (0.627, 0.627, 0.434)
Te (0.373, 0.373, 0.566)
Te (0.075, 0.075, 0.750)
Te (0.373, 0.373, 0.934)
Tl (0.249, 0.249, 0.250)
Tl (0.751, 0.751, 0.750)

E above lowest polymorph	0.000	eV per atom

---

A relaxed structure of ZrScGa2. Source: OQMD via LeMat-Bulk, functional PBE.

Unit cell a=4.776 b=4.776 c=4.776 alpha=60.00 beta=60.00 gamma=60.00
Atoms (fractional coordinates):
Ga (0.250, 0.250, 0.250)
Ga (0.500, 0.500, 0.500)
Sc (0.000, 0.000, 0.000)
Zr (0.750, 0.750, 0.750)

---

A relaxed structure of Tm5Tl4Ag. Source: OQMD via LeMat-Bulk, functional PBE.

Unit cell a=3.582 b=3.582 c=20.053 alpha=90.00 beta=90.00 gamma=90.00
Atoms (fractional coordinates):
Ag (0.000, 0.000, 0.000)
Tl (0.000, 0.000, 0.191)
Tl (0.000, 0.000, 0.397)
Tl (0.000, 0.000, 0.603)
Tl (0.000, 0.000, 0.809)
Tm (0.500, 0.500, 0.089)
Tm (0.500, 0.500, 0.294)
Tm (0.500, 0.500, 0.500)
Tm (0.500, 0.500, 0.706)
Tm (0.500, 0.500, 0.911)

---

A relaxed structure of La2FeSi4Os. Source: OQMD via LeMat-Bulk, functional PBE.

Unit cell a=4.473 b=4.128 c=8.274 alpha=90.00 beta=103.33 gamma=90.00
Atoms (fractional coordinates):
Fe (0.117, 0.000, 0.892)
La (0.407, 0.000, 0.296)
La (0.604, 0.500, 0.703)
Os (0.880, 0.500, 0.112)
Si (0.965, 0.500, 0.410)
Si (0.048, 0.000, 0.602)
Si (0.662, 0.000, 0.989)
Si (0.318, 0.500, 0.996)

---

A relaxed structure of GaReAu. Source: OQMD via LeMat-Bulk, functional PBE.

Unit cell a=4.352 b=4.352 c=4.352 alpha=60.00 beta=60.00 gamma=60.00
Atoms (fractional coordinates):
Au (0.250, 0.250, 0.250)
Ga (0.750, 0.750, 0.750)
Re (0.000, 0.000, 0.000)

E above lowest polymorph	0.000	eV per atom

---

A relaxed structure of CsYAu. Source: OQMD via LeMat-Bulk, functional PBE.

Unit cell a=5.183 b=5.183 c=5.183 alpha=60.00 beta=60.00 gamma=60.00
Atoms (fractional coordinates):
Au (0.250, 0.250, 0.250)
Cs (0.000, 0.000, 0.000)
Y (0.750, 0.750, 0.750)

E above lowest polymorph	0.537	eV per atom

---

A relaxed structure of Zr2NiSn. Source: OQMD via LeMat-Bulk, functional PBE.

Unit cell a=4.194 b=6.197 c=6.197 alpha=76.23 beta=90.00 gamma=90.00
Atoms (fractional coordinates):
Ni (0.000, 0.332, 0.332)
Ni (0.500, 0.679, 0.679)
Sn (0.000, 0.830, 0.406)
Sn (0.000, 0.406, 0.830)
Zr (0.500, 0.117, 0.117)
Zr (0.500, 0.588, 0.160)
Zr (0.500, 0.160, 0.588)
Zr (0.000, 0.888, 0.888)

---

A relaxed structure of Li2Ta. Source: OQMD via LeMat-Bulk, functional PBE.

Unit cell a=5.120 b=5.120 c=7.642 alpha=90.00 beta=90.00 gamma=114.34
Atoms (fractional coordinates):
Li (0.000, 0.000, 0.000)
Li (0.356, 0.146, 0.250)
Li (0.828, 0.172, 0.250)
Li (0.854, 0.644, 0.250)
Li (0.000, 0.000, 0.500)
Li (0.146, 0.356, 0.750)
Li (0.172, 0.828, 0.750)
Li (0.644, 0.854, 0.750)
Ta (0.359, 0.641, 0.081)
Ta (0.359, 0.641, 0.419)
Ta (0.641, 0.359, 0.581)
Ta (0.641, 0.359, 0.919)

E above lowest polymorph	0.000	eV per atom

---

A relaxed structure of Ta2Sb2O5. Source: OQMD via LeMat-Bulk, functional PBE.

Unit cell a=8.872 b=3.658 c=3.658 alpha=90.00 beta=90.00 gamma=90.00
Atoms (fractional coordinates):
O (0.298, 0.500, 0.000)
O (0.702, 0.500, 0.000)
O (0.298, 0.000, 0.500)
O (0.702, 0.000, 0.500)
O (0.500, 0.500, 0.500)
Sb (0.000, 0.000, 0.000)
Sb (0.500, 0.000, 0.000)
Ta (0.216, 0.500, 0.500)
Ta (0.784, 0.500, 0.500)

E above lowest polymorph	0.000	eV per atom

---

A relaxed structure of SnMo2N. Source: OQMD via LeMat-Bulk, functional PBE.

Unit cell a=5.648 b=5.648 c=13.470 alpha=102.22 beta=102.22 gamma=59.70
Atoms (fractional coordinates):
Mo (0.860, 0.692, 0.077)
Mo (0.193, 0.025, 0.077)
Mo (0.527, 0.358, 0.077)
Mo (0.642, 0.473, 0.423)
Mo (0.975, 0.807, 0.423)
Mo (0.308, 0.140, 0.423)
Mo (0.692, 0.860, 0.577)
Mo (0.025, 0.193, 0.577)
Mo (0.358, 0.527, 0.577)
Mo (0.473, 0.642, 0.923)
Mo (0.807, 0.975, 0.923)
Mo (0.140, 0.308, 0.923)
N (0.500, 0.000, 0.000)
N (0.833, 0.333, 0.000)
N (0.167, 0.667, 0.000)
N (0.333, 0.833, 0.500)
N (0.000, 0.500, 0.500)
N (0.667, 0.167, 0.500)
Sn (0.253, 0.414, 0.250)
Sn (0.919, 0.081, 0.250)
Sn (0.586, 0.747, 0.250)
Sn (0.414, 0.253, 0.750)
Sn (0.081, 0.919, 0.750)
Sn (0.747, 0.586, 0.750)

---

A relaxed structure of RbGdTeS. Source: OQMD via LeMat-Bulk, functional PBE.

Unit cell a=4.304 b=4.304 c=16.363 alpha=90.00 beta=90.00 gamma=120.00
Atoms (fractional coordinates):
Gd (0.000, 0.000, 0.000)
Gd (0.000, 0.000, 0.500)
Rb (0.667, 0.333, 0.228)
Rb (0.333, 0.667, 0.772)
S (0.333, 0.667, 0.086)
S (0.667, 0.333, 0.914)
Te (0.333, 0.667, 0.388)
Te (0.667, 0.333, 0.612)

E above lowest polymorph	0.008	eV per atom

---

A relaxed structure of BaSr2Ag2. Source: OQMD via LeMat-Bulk, functional PBE.

Unit cell a=5.241 b=5.241 c=7.878 alpha=109.43 beta=109.43 gamma=90.00
Atoms (fractional coordinates):
Ag (0.603, 0.603, 0.206)
Ag (0.397, 0.397, 0.794)
Ba (0.000, 0.000, 0.000)
Sr (0.750, 0.250, 0.500)
Sr (0.250, 0.750, 0.500)

---

A relaxed structure of RbFeBiSe3. Source: OQMD via LeMat-Bulk, functional PBE.

Unit cell a=7.899 b=7.899 c=11.444 alpha=90.00 beta=90.00 gamma=148.98
Atoms (fractional coordinates):
Bi (0.000, 0.000, 0.000)
Bi (0.000, 0.000, 0.500)
Fe (0.460, 0.540, 0.250)
Fe (0.540, 0.460, 0.750)
Rb (0.739, 0.261, 0.250)
Rb (0.261, 0.739, 0.750)
Se (0.374, 0.626, 0.070)
Se (0.053, 0.947, 0.250)
Se (0.374, 0.626, 0.430)
Se (0.626, 0.374, 0.570)
Se (0.947, 0.053, 0.750)
Se (0.626, 0.374, 0.930)

---

A relaxed structure of Nb3FeN2. Source: OQMD via LeMat-Bulk, functional PBE.

Unit cell a=3.085 b=3.085 c=18.405 alpha=90.00 beta=90.00 gamma=120.00
Atoms (fractional coordinates):
Fe (0.000, 0.000, 0.250)
Fe (0.000, 0.000, 0.750)
N (0.333, 0.667, 0.073)
N (0.333, 0.667, 0.427)
N (0.667, 0.333, 0.573)
N (0.667, 0.333, 0.927)
Nb (0.000, 0.000, 0.000)
Nb (0.667, 0.333, 0.141)
Nb (0.667, 0.333, 0.359)
Nb (0.000, 0.000, 0.500)
Nb (0.333, 0.667, 0.641)
Nb (0.333, 0.667, 0.859)

---

A relaxed structure of NdTaAsO. Source: OQMD via LeMat-Bulk, functional PBE.

Unit cell a=4.024 b=4.024 c=9.299 alpha=90.00 beta=90.00 gamma=90.00
Atoms (fractional coordinates):
As (0.750, 0.750, 0.308)
As (0.250, 0.250, 0.692)
Nd (0.250, 0.250, 0.129)
Nd (0.750, 0.750, 0.871)
O (0.750, 0.250, 0.000)
O (0.250, 0.750, 0.000)
Ta (0.750, 0.250, 0.500)
Ta (0.250, 0.750, 0.500)

E above lowest polymorph	0.000	eV per atom

---

A relaxed structure of Sr2Al4IrPt. Source: OQMD via LeMat-Bulk, functional PBE.

Unit cell a=7.396 b=6.087 c=6.087 alpha=40.69 beta=90.00 gamma=90.00
Atoms (fractional coordinates):
Al (0.186, 0.180, 0.180)
Al (0.814, 0.180, 0.180)
Al (0.307, 0.820, 0.820)
Al (0.693, 0.820, 0.820)
Ir (0.000, 0.719, 0.719)
Pt (0.500, 0.280, 0.280)
Sr (0.000, 0.450, 0.450)
Sr (0.500, 0.550, 0.550)

---

A relaxed structure of PaTaTl. Source: OQMD via LeMat-Bulk, functional PBE.

Unit cell a=4.935 b=4.935 c=4.935 alpha=60.00 beta=60.00 gamma=60.00
Atoms (fractional coordinates):
Pa (0.000, 0.000, 0.000)
Ta (0.250, 0.250, 0.250)
Tl (0.750, 0.750, 0.750)

E above lowest polymorph	0.275	eV per atom

---

A relaxed structure of LuCdCo. Source: OQMD via LeMat-Bulk, functional PBE.

Unit cell a=4.587 b=4.587 c=4.587 alpha=60.00 beta=60.00 gamma=60.00
Atoms (fractional coordinates):
Cd (0.250, 0.250, 0.250)
Co (0.750, 0.750, 0.750)
Lu (0.000, 0.000, 0.000)

energy of formation from the pure elements	599.4	meV per atom

---

A relaxed structure of Rb3AuS2. Source: OQMD via LeMat-Bulk, functional PBE.

Unit cell a=8.865 b=8.865 c=8.865 alpha=130.94 beta=81.21 gamma=119.84
Atoms (fractional coordinates):
Au (0.000, 0.000, 0.000)
Au (0.500, 0.500, 0.000)
Rb (0.471, 0.250, 0.221)
Rb (0.971, 0.750, 0.221)
Rb (0.750, 0.250, 0.500)
Rb (0.250, 0.750, 0.500)
Rb (0.029, 0.250, 0.779)
Rb (0.529, 0.750, 0.779)
S (0.885, 0.244, 0.129)
S (0.615, 0.744, 0.359)
S (0.385, 0.256, 0.641)
S (0.115, 0.756, 0.871)

---

A relaxed structure of TaPAuO. Source: OQMD via LeMat-Bulk, functional PBE.

Unit cell a=3.321 b=6.111 c=7.234 alpha=90.00 beta=90.00 gamma=90.00
Atoms (fractional coordinates):
Au (0.000, 0.864, 0.080)
Au (0.000, 0.136, 0.580)
O (0.500, 0.392, 0.264)
O (0.500, 0.608, 0.764)
P (0.000, 0.811, 0.402)
P (0.000, 0.189, 0.902)
Ta (0.500, 0.461, 0.008)
Ta (0.500, 0.539, 0.508)

E above lowest polymorph	0.017	eV per atom

---

A relaxed structure of TaBeZnCu. Source: OQMD via LeMat-Bulk, functional PBE.

Unit cell a=4.199 b=4.199 c=4.199 alpha=60.00 beta=60.00 gamma=60.00
Atoms (fractional coordinates):
Be (0.250, 0.250, 0.250)
Cu (0.750, 0.750, 0.750)
Ta (0.500, 0.500, 0.500)
Zn (0.000, 0.000, 0.000)

E above lowest polymorph	0.000	eV per atom

---

A relaxed structure of Cu5Ag4. Source: OQMD via LeMat-Bulk, functional PBE.

Unit cell a=5.890 b=5.890 c=8.539 alpha=103.93 beta=103.93 gamma=27.32
Atoms (fractional coordinates):
Ag (0.340, 0.340, 0.092)
Ag (0.667, 0.667, 0.219)
Ag (0.997, 0.997, 0.349)
Ag (0.998, 0.998, 0.672)
Cu (0.323, 0.323, 0.458)
Cu (0.676, 0.676, 0.569)
Cu (0.326, 0.326, 0.776)
Cu (0.668, 0.668, 0.882)
Cu (0.006, 0.006, 0.983)

E above lowest polymorph	0.053	eV per atom
energy of formation from the pure elements	93.8	meV per atom

---

A relaxed structure of TlCuNiIr. Source: OQMD via LeMat-Bulk, functional PBE.

Unit cell a=4.370 b=4.370 c=4.370 alpha=60.00 beta=60.00 gamma=60.00
Atoms (fractional coordinates):
Cu (0.750, 0.750, 0.750)
Ir (0.500, 0.500, 0.500)
Ni (0.250, 0.250, 0.250)
Tl (0.000, 0.000, 0.000)

E above lowest polymorph	0.000	eV per atom

---

A relaxed structure of RbPuAgSeS2. Source: OQMD via LeMat-Bulk, functional PBE.

Unit cell a=8.632 b=4.117 c=10.050 alpha=90.00 beta=109.11 gamma=90.00
Atoms (fractional coordinates):
Ag (0.074, 0.250, 0.101)
Ag (0.926, 0.750, 0.899)
Pu (0.321, 0.750, 0.353)
Pu (0.679, 0.250, 0.647)
Rb (0.773, 0.750, 0.245)
Rb (0.227, 0.250, 0.755)
S (0.120, 0.250, 0.364)
S (0.534, 0.250, 0.366)
S (0.466, 0.750, 0.634)
S (0.880, 0.750, 0.636)
Se (0.255, 0.750, 0.058)
Se (0.745, 0.250, 0.942)

---

| no. | E_tot (eV per atom) |
| --- | --- |
| 1 | -4.563 |
| 2 | -5.186 |
| 3 | -3.768 |
| 4 | -7.082 |
| 5 | -5.484 |
| 6 | -2.692 |
| 7 | -6.940 |
| 8 | -4.669 |
| 9 | -7.784 |
| 10 | -8.515 |
| 11 | -4.808 |
| 12 | -2.348 |
| 13 | -4.489 |
| 14 | -9.710 |
| 15 | -8.348 |
| 16 | -4.888 |
| 17 | -6.530 |
| 18 | -3.576 |
| 19 | -3.283 |
| 20 | -7.217 |
| 21 | -4.970 |
| 22 | -3.226 |
| 23 | -4.776 |
| 24 | -6.097 |